Computed, not measured: an optimized crystal structure of GaCu2S at the PBE-GGA level of DFT.

```
GaCu2S
1.0
5.688 0.000 0.000
0.000 5.688 0.000
2.844 2.844 4.832
S Cu Ga
2 4 2
direct
0.500 0.500 0.000 S
0.250 0.750 0.500 S
0.580 0.125 0.250 Cu
0.170 0.625 0.250 Cu
0.375 0.420 0.750 Cu
0.875 0.830 0.750 Cu
0.000 0.000 0.000 Ga
0.750 0.250 0.500 Ga
```

Values from the calculation:
As for the spin magnetization: 0.0 μB per formula unit. The excess energy over the best structure of this formula in the dataset comes out at 0.0 meV/atom. Its density of states at the Fermi level is 2.23 states/eV/f.u. As for the space-group type: I-42d (122).